Below is crystalline CaNiP2O7 at its relaxed geometry, with properties calculated at the PBE+U level.

The value obtained for the mass density is 3402 kg/m3. The value obtained for the total DFT energy (no corrections) is -6.86 eV/atom. The value obtained for the offset from the most stable computed form is 10 meV per atom. The calculation puts the size of the total moment at 3.94 Bohr magnetons per cell.

The structure belongs to space group P-1 (No. 2); the cell edges are 6.3513, 6.5478 and 6.9474 Å and the angles 83.49°, 89.91° and 68.18°. The distinct sites, in fractional coordinates, are Ca at (0.2060, 0.2666, 0.3824), Ni at (0.2522, 0.8740, 0.8057), P at (0.2516, 0.7796, 0.3695), P at (0.3385, 0.3420, 0.8798), O at (0.0867, 0.9957, 0.2551), O at (0.1433, 0.6193, 0.4489), O at (0.1769, 0.5851, 0.8581), O at (0.2591, 0.1913, 0.7721), O at (0.3758, 0.8476, 0.5282), O at (0.4188, 0.2482, 0.0921) and O at (0.4321, 0.6503, 0.2236).